Record 1
# PBE LaNd2Cd, relaxed
# Offset from the most stable computed form = 106 meV/atom
# Crystal system = trigonal
data_LaNd2Cd
_chemical_formula_sum 'La1 Nd2 Cd1'
_cell_length_a 3.7059
_cell_length_b 3.7059
_cell_length_c 11.4565
_cell_angle_alpha 80.69
_cell_angle_beta 80.69
_cell_angle_gamma 60.00
_symmetry_space_group_name_H-M 'P 1'
_symmetry_Int_Tables_number 1
_symmetry_space_group_name_Hall 'P 1'
loop_
_atom_site_label
_atom_site_type_symbol
_atom_site_fract_x
_atom_site_fract_y
_atom_site_fract_z
Nd1 Nd 0.2580 0.2580 0.2261
Nd2 Nd 0.0757 0.0757 0.7729
Cd1 Cd 0.6667 0.6667 0.9999
La1 La 0.4996 0.4996 0.5011

=====

Record 2
# PBE La3NdCd4, relaxed
# Crystal system = tetragonal
data_La3NdCd4
_chemical_formula_sum 'La3 Nd1 Cd4'
_cell_length_a 3.9136
_cell_length_b 3.9136
_cell_length_c 15.7075
_cell_angle_alpha 90.00
_cell_angle_beta 90.00
_cell_angle_gamma 90.00
_symmetry_space_group_name_H-M 'P 1'
_symmetry_Int_Tables_number 1
_symmetry_space_group_name_Hall 'P 1'
loop_
_atom_site_label
_atom_site_type_symbol
_atom_site_fract_x
_atom_site_fract_y
_atom_site_fract_z
Cd1 Cd 0.0000 0.0000 0.3738
Cd2 Cd 0.0000 0.0000 0.1189
Cd3 Cd 0.0000 0.0000 0.6262
Cd4 Cd 0.0000 0.0000 0.8811
Nd1 Nd 0.5000 0.5000 0.0000
La1 La 0.5000 0.5000 0.2468
La2 La 0.5000 0.5000 0.5000
La3 La 0.5000 0.5000 0.7532

=====

Record 3
# PBE La5NdCd2, relaxed
# Offset from the most stable computed form = 41 meV/atom
# Crystal system = orthorhombic
data_La5NdCd2
_chemical_formula_sum 'La10 Nd2 Cd4'
_cell_length_a 5.4128
_cell_length_b 6.6604
_cell_length_c 16.3672
_cell_angle_alpha 90.00
_cell_angle_beta 90.00
_cell_angle_gamma 113.98
_symmetry_space_group_name_H-M 'P 1'
_symmetry_Int_Tables_number 1
_symmetry_space_group_name_Hall 'P 1'
loop_
_atom_site_label
_atom_site_type_symbol
_atom_site_fract_x
_atom_site_fract_y
_atom_site_fract_z
La1 La 0.5381 0.0763 0.2500
La2 La 0.6431 0.2863 0.5256
La3 La 0.3569 0.7137 0.0256
La4 La 0.6431 0.2863 0.9744
La5 La 0.9629 0.9258 0.6067
La6 La 0.3569 0.7137 0.4744
La7 La 0.9629 0.9258 0.8933
La8 La 0.0371 0.0742 0.1067
La9 La 0.4619 0.9237 0.7500
La10 La 0.0371 0.0742 0.3933
Cd1 Cd 0.7731 0.5462 0.1458
Cd2 Cd 0.2269 0.4538 0.6458
Cd3 Cd 0.7731 0.5462 0.3542
Cd4 Cd 0.2269 0.4538 0.8542
Nd1 Nd 0.7263 0.4526 0.7500
Nd2 Nd 0.2737 0.5474 0.2500

=====

Record 4
# PBE La8Nd3Cd2, relaxed
# Crystal system = triclinic
data_La8Nd3Cd2
_chemical_formula_sum 'La8 Nd3 Cd2'
_cell_length_a 7.1217
_cell_length_b 10.1604
_cell_length_c 9.6793
_cell_angle_alpha 73.87
_cell_angle_beta 42.71
_cell_angle_gamma 72.49
_symmetry_space_group_name_H-M 'P 1'
_symmetry_Int_Tables_number 1
_symmetry_space_group_name_Hall 'P 1'
loop_
_atom_site_label
_atom_site_type_symbol
_atom_site_fract_x
_atom_site_fract_y
_atom_site_fract_z
La1 La 0.5536 0.8522 0.6300
La2 La 0.2363 0.8187 0.4432
La3 La 0.7637 0.1813 0.5568
La4 La 0.0174 0.3062 0.8792
La5 La 0.6514 0.6535 0.9674
La6 La 0.3486 0.3465 0.0326
La7 La 0.4464 0.1478 0.3700
La8 La 0.9826 0.6938 0.1208
Cd1 Cd 0.3773 0.5621 0.6743
Cd2 Cd 0.6227 0.4379 0.3257
Nd1 Nd 0.0000 0.5000 0.5000
Nd2 Nd 0.1738 0.9963 0.0912
Nd3 Nd 0.8262 0.0037 0.9088

=====

Record 5
# PBE La4NdCd5, relaxed
# Crystal system = tetragonal
data_La4NdCd5
_chemical_formula_sum 'La4 Nd1 Cd5'
_cell_length_a 3.9261
_cell_length_b 3.9261
_cell_length_c 19.5624
_cell_angle_alpha 90.00
_cell_angle_beta 90.00
_cell_angle_gamma 90.00
_symmetry_space_group_name_H-M 'P 1'
_symmetry_Int_Tables_number 1
_symmetry_space_group_name_Hall 'P 1'
loop_
_atom_site_label
_atom_site_type_symbol
_atom_site_fract_x
_atom_site_fract_y
_atom_site_fract_z
Cd1 Cd 0.5000 0.5000 0.0949
Cd2 Cd 0.5000 0.5000 0.2980
Cd3 Cd 0.5000 0.5000 0.7020
Cd4 Cd 0.5000 0.5000 0.9051
Cd5 Cd 0.5000 0.5000 0.5000
La1 La 0.0000 0.0000 0.8031
La2 La 0.0000 0.0000 0.3988
La3 La 0.0000 0.0000 0.1969
La4 La 0.0000 0.0000 0.6012
Nd1 Nd 0.0000 0.0000 0.0000

=====

Record 6
# PBE La6NdCd2, relaxed
# Offset from the most stable computed form = 392 meV/atom
# Crystal system = trigonal
data_La6NdCd2
_chemical_formula_sum 'La6 Nd1 Cd2'
_cell_length_a 7.4416
_cell_length_b 7.4416
_cell_length_c 7.7519
_cell_angle_alpha 61.32
_cell_angle_beta 61.32
_cell_angle_gamma 60.00
_symmetry_space_group_name_H-M 'P 1'
_symmetry_Int_Tables_number 1
_symmetry_space_group_name_Hall 'P 1'
loop_
_atom_site_label
_atom_site_type_symbol
_atom_site_fract_x
_atom_site_fract_y
_atom_site_fract_z
Cd1 Cd 0.7482 0.7482 0.7553
Cd2 Cd 0.5783 0.5783 0.2651
La1 La 0.0517 0.6161 0.2876
La2 La 0.7711 0.2745 0.6963
La3 La 0.2581 0.7711 0.6963
La4 La 0.2745 0.2581 0.6963
La5 La 0.0445 0.0517 0.2876
La6 La 0.6161 0.0445 0.2876
Nd1 Nd 0.3231 0.3231 0.0308

=====

Record 7
# PBE La3Nd4Cd2, relaxed
# Crystal system = monoclinic
data_La3Nd4Cd2
_chemical_formula_sum 'La6 Nd8 Cd4'
_cell_length_a 6.4721
_cell_length_b 9.8232
_cell_length_c 9.8232
_cell_angle_alpha 72.98
_cell_angle_beta 84.62
_cell_angle_gamma 84.62
_symmetry_space_group_name_H-M 'P 1'
_symmetry_Int_Tables_number 1
_symmetry_space_group_name_Hall 'P 1'
loop_
_atom_site_label
_atom_site_type_symbol
_atom_site_fract_x
_atom_site_fract_y
_atom_site_fract_z
Cd1 Cd 0.1343 0.3875 0.1089
Cd2 Cd 0.3657 0.8911 0.6125
Cd3 Cd 0.6343 0.1089 0.3875
Cd4 Cd 0.8657 0.6125 0.8911
Nd1 Nd 0.3955 0.5580 0.8020
Nd2 Nd 0.9849 0.6804 0.1829
Nd3 Nd 0.5151 0.8171 0.3196
Nd4 Nd 0.8955 0.8020 0.5580
Nd5 Nd 0.6045 0.4420 0.1980
Nd6 Nd 0.0151 0.3196 0.8171
Nd7 Nd 0.4849 0.1829 0.6804
Nd8 Nd 0.1045 0.1980 0.4420
La1 La 0.2500 0.5401 0.4599
La2 La 0.5582 0.1738 0.0275
La3 La 0.4418 0.8262 0.9725
La4 La 0.7500 0.4599 0.5401
La5 La 0.9418 0.9725 0.8262
La6 La 0.0582 0.0275 0.1738

=====

Record 8
# PBE La3Nd6Cd, relaxed
# Offset from the most stable computed form = 0 meV/atom
# Crystal system = monoclinic
data_La3Nd6Cd
_chemical_formula_sum 'La6 Nd12 Cd2'
_cell_length_a 5.3080
_cell_length_b 11.0709
_cell_length_c 11.7218
_cell_angle_alpha 94.27
_cell_angle_beta 90.00
_cell_angle_gamma 90.00
_symmetry_space_group_name_H-M 'P 1'
_symmetry_Int_Tables_number 1
_symmetry_space_group_name_Hall 'P 1'
loop_
_atom_site_label
_atom_site_type_symbol
_atom_site_fract_x
_atom_site_fract_y
_atom_site_fract_z
Nd1 Nd 0.2500 0.8732 0.3217
Nd2 Nd 0.7500 0.9596 0.1192
Nd3 Nd 0.7500 0.8438 0.8248
Nd4 Nd 0.2500 0.4507 0.0989
Nd5 Nd 0.2500 0.6600 0.7056
Nd6 Nd 0.7500 0.5493 0.9011
Nd7 Nd 0.2500 0.1562 0.1752
Nd8 Nd 0.7500 0.1268 0.6783
Nd9 Nd 0.7500 0.3400 0.2944
Nd10 Nd 0.2500 0.0404 0.8808
Nd11 Nd 0.2500 0.2218 0.4877
Nd12 Nd 0.7500 0.7782 0.5123
La1 La 0.2500 0.5535 0.4066
La2 La 0.2500 0.3413 0.7883
La3 La 0.7500 0.6587 0.2117
La4 La 0.7500 0.4465 0.5934
La5 La 0.7500 0.2439 0.9832
La6 La 0.2500 0.7561 0.0168
Cd1 Cd 0.7500 0.0581 0.3910
Cd2 Cd 0.2500 0.9419 0.6090

=====

no.,formation enthalpy at 0 K (eV per atom),magnetic moment (μB/f.u.)
1,-0.05,0.0
2,-0.32,1.3
3,-0.09,0.0
4,-0.07,0.0
5,-0.33,1.7
6,0.25,0.0
7,-0.06,0.0
8,-0.03,0.0